{
  "formula": "SbI2BrO",
  "functional": "PBE",
  "state": "optimized geometry",
  "cell": [[6.146, 0.000, 0.000], [0.000, 6.146, 0.000], [0.000, 0.000, 4.040]],
  "species": ["Sb", "I", "I", "Br", "O"],
  "fractional_positions": [[0.000, 0.000, 0.000], [0.000, 0.500, 0.000], [0.500, 0.000, 0.000], [0.500, 0.500, 0.500], [0.000, 0.000, 0.500]],
  "e_above_lowest_polymorph_mev_per_atom": 0,
  "total_magnetization_mub_per_fu": 0.0,
  "mass_density_g_cm3": 5.13,
  "space_group": "P4/mmm (123)"
}

***

{
  "formula": "SrSBr2",
  "functional": "PBE",
  "state": "optimized geometry",
  "cell": [[5.671, 0.000, 0.000], [-2.836, 4.911, 0.000], [0.000, 0.000, 11.877]],
  "species": ["Sr", "Sr", "Sr", "S", "S", "S", "Br", "Br", "Br", "Br", "Br", "Br"],
  "fractional_positions": [[0.000, 0.000, 0.000], [0.333, 0.667, 0.667], [0.667, 0.333, 0.333], [0.000, 0.000, 0.500], [0.333, 0.667, 0.167], [0.667, 0.333, 0.833], [0.000, 0.000, 0.288], [0.000, 0.000, 0.712], [0.333, 0.667, 0.379], [0.333, 0.667, 0.955], [0.667, 0.333, 0.045], [0.667, 0.333, 0.621]],
  "e_above_lowest_polymorph_mev_per_atom": 0,
  "total_magnetization_mub_per_fu": 0.0,
  "mass_density_g_cm3": 4.21,
  "space_group": "R-3m (166)"
}

***

{
  "formula": "ScCdCl2",
  "functional": "PBE",
  "state": "optimized geometry",
  "cell": [[3.350, 0.000, 0.000], [0.000, 5.776, 0.000], [0.000, 0.000, 11.664]],
  "species": ["Sc", "Sc", "Cd", "Cd", "Cl", "Cl", "Cl", "Cl"],
  "fractional_positions": [[0.000, 0.000, 0.000], [0.500, 0.500, 0.500], [0.000, 0.000, 0.500], [0.500, 0.500, 0.000], [0.000, 0.500, 0.340], [0.000, 0.500, 0.660], [0.500, 0.000, 0.160], [0.500, 0.000, 0.840]],
  "e_above_lowest_polymorph_mev_per_atom": 108,
  "total_magnetization_mub_per_fu": 0.0,
  "mass_density_g_cm3": 3.36,
  "space_group": "Immm (71)"
}

***

{
  "formula": "Cs2OsBrClF4",
  "functional": "PBE",
  "state": "optimized geometry",
  "cell": [[-3.620, 3.620, 4.461], [3.620, -3.620, 4.461], [3.620, 3.620, -4.461]],
  "species": ["Cs", "Cs", "Os", "Br", "Cl", "F", "F", "F", "F"],
  "fractional_positions": [[0.000, 0.500, 0.500], [0.500, 0.000, 0.500], [0.267, 0.267, 0.000], [0.548, 0.548, 0.000], [0.003, 0.003, 0.000], [0.073, 0.073, 0.614], [0.073, 0.459, 0.000], [0.459, 0.073, 0.000], [0.459, 0.459, 0.386]],
  "energy_ev_per_atom": -4.53,
  "total_magnetization_mub_per_fu": 2.0,
  "mass_density_g_cm3": 4.60,
  "space_group": "I4mm (107)"
}

***

{
  "formula": "V4Re3Tc2",
  "functional": "PBE",
  "state": "optimized geometry",
  "cell": [[4.302, 0.000, 0.000], [-2.151, 3.725, 0.000], [0.000, 0.000, 7.931]],
  "species": ["V", "V", "V", "V", "Re", "Re", "Re", "Tc", "Tc"],
  "fractional_positions": [[0.000, 0.000, 0.169], [0.000, 0.000, 0.831], [0.333, 0.667, 0.390], [0.667, 0.333, 0.610], [0.000, 0.000, 0.500], [0.333, 0.667, 0.059], [0.667, 0.333, 0.941], [0.333, 0.667, 0.719], [0.667, 0.333, 0.281]],
  "total_magnetization_mub_per_fu": 0.0,
  "mass_density_g_cm3": 12.52,
  "formation_enthalpy_0k_mev_per_atom": -293.1,
  "space_group": "P-3m1 (164)"
}

***

{
  "formula": "AlIn4Fe",
  "functional": "PBE",
  "state": "optimized geometry",
  "cell": [[0.000, 4.191, 4.191], [4.191, 0.000, 4.191], [4.191, 4.191, 0.000]],
  "species": ["Al", "In", "In", "In", "In", "Fe"],
  "fractional_positions": [[0.000, 0.000, 0.000], [0.375, 0.375, 0.375], [0.375, 0.375, 0.874], [0.375, 0.874, 0.375], [0.874, 0.375, 0.375], [0.750, 0.750, 0.750]],
  "total_magnetization_mub_per_fu": 2.9,
  "mass_density_g_cm3": 6.11,
  "formation_enthalpy_0k_mev_per_atom": 643.3,
  "space_group": "F-43m (216)"
}